# 1
VASP calculation (PBE) on a relaxed UGa2Tc crystal.

For the density, the calculation gives 10.9 g/cm3. As for the energy relative to the lowest polymorph listed for this composition: 0.0000 eV per atom.

It has space group P2_1/m (No. 11), with a = 4.540 Å, b = 6.705 Å, c = 4.979 Å, α = 90.00°, β = 107.38° and γ = 90.00°. The asymmetric unit holds U at (0.035, 0.250, 0.150), Ga at (0.415, 0.052, 0.731) and Tc at (0.111, 0.750, 0.380).

---

# 2
VASP calculation (PBE) on a relaxed CaPm3Pr2Sm6 crystal.

The energy comes out at -4.4784 eV/atom. For the density, the calculation gives 6.6 g/cm3.

It has space group C2/m (No. 12), with a = 6.347 Å, b = 11.000 Å, c = 12.148 Å, α = 90.00°, β = 100.07° and γ = 90.00°. The asymmetric unit holds Ca at (0.000, 0.000, 0.000), Pm at (0.000, 0.166, 0.500), Pm at (0.000, 0.500, 0.500), Pr at (0.000, 0.333, 0.000), Sm at (0.246, 0.331, 0.746) and Sm at (0.248, 0.500, 0.254).

---

# 3
VASP calculation (PBE) on a relaxed KLiHo2Br8 crystal.

The calculation puts the formation energy from raw total energies at -40.5 kcal/mol of atoms. For the density, the calculation gives 4.0 g/cm3.

It has space group P2/m (No. 10), with a = 6.959 Å, b = 8.590 Å, c = 7.167 Å, α = 90.00°, β = 97.28° and γ = 90.00°. The asymmetric unit holds K at (0.000, 0.000, 0.000), Li at (0.000, 0.500, 0.000), Ho at (0.500, 0.257, 0.500), Br at (0.240, 0.281, 0.179), Br at (0.289, 0.500, 0.651) and Br at (0.299, 0.000, 0.641).

---

# 4
VASP calculation (PBE) on a relaxed FeTeOs crystal.

The calculation puts the formation energy from raw total energies at 15.5 kcal/mol of atoms. For the density, the calculation gives 12.5 g/cm3. As for the energy relative to the lowest polymorph listed for this composition: 0.2413 eV per atom.

It has space group I4mm (No. 107), with a = 3.091 Å, b = 3.091 Å, c = 10.370 Å, α = 90.00°, β = 90.00° and γ = 90.00°. The asymmetric unit holds Fe at (0.000, 0.000, 0.000), Te at (0.000, 0.000, 0.685) and Os at (0.000, 0.000, 0.359).

---

# 5
VASP calculation (PBE) on a relaxed Ni2RuSe crystal.

The calculation puts the formation energy from raw total energies at 6.4 kcal/mol of atoms. For the density, the calculation gives 8.9 g/cm3.

It has space group I-42d (No. 122), with a = 6.726 Å, b = 6.726 Å, c = 4.895 Å, α = 90.00°, β = 90.00° and γ = 90.00°. The asymmetric unit holds Ni at (0.224, 0.250, 0.125), Ru at (0.000, 0.000, 0.500) and Se at (0.000, 0.000, 0.000).

---

# 6
VASP calculation (PBE) on a relaxed TaCl crystal.

The calculation puts the formation energy from raw total energies at -8.4 kcal/mol of atoms. For the density, the calculation gives 7.7 g/cm3.

It has space group P4/m (No. 83), with a = 10.849 Å, b = 10.849 Å, c = 3.169 Å, α = 90.00°, β = 90.00° and γ = 90.00°. The asymmetric unit holds Ta at (0.050, 0.684, 0.000), Ta at (0.088, 0.156, 0.500), Cl at (0.131, 0.455, 0.000) and Cl at (0.239, 0.695, 0.500).

---

# 7
VASP calculation (PBE) on a relaxed Tl2As crystal.

For the density, the calculation gives 9.0 g/cm3. As for the energy relative to the lowest polymorph listed for this composition: 0.4670 eV per atom.

It has space group Fd-3m (No. 227, origin choice 2), with a = 8.940 Å, b = 8.940 Å, c = 8.940 Å, α = 90.00°, β = 90.00° and γ = 90.00°. The asymmetric unit holds Tl at (0.000, 0.000, 0.000) and As at (0.125, 0.125, 0.625).

---

# 8
VASP calculation (PBE) on a relaxed Mn2BrN crystal.

The calculation puts the formation energy from raw total energies at 27.0 kcal/mol of atoms. For the density, the calculation gives 7.8 g/cm3. As for the energy relative to the lowest polymorph listed for this composition: 0.9248 eV per atom.

It has space group Fm-3m (No. 225), with a = 5.587 Å, b = 5.587 Å, c = 5.587 Å, α = 90.00°, β = 90.00° and γ = 90.00°. The asymmetric unit holds Mn at (0.250, 0.250, 0.250), Br at (0.000, 0.000, 0.000) and N at (0.000, 0.000, 0.500).

---

# 9
VASP calculation (PBE) on a relaxed Pr2NdP crystal.

The energy comes out at -5.5765 eV/atom. For the density, the calculation gives 5.8 g/cm3.

It has space group R-3m (No. 166, hexagonal axes), with a = 3.9647 Å, b = 3.9647 Å, c = 29.0020 Å, α = 90.00°, β = 90.00° and γ = 120.00°. The asymmetric unit holds Pr at (0.0000, 0.0000, 0.2261), Nd at (0.0000, 0.0000, 0.0000) and P at (0.0000, 0.0000, 0.5000).

---

# 10
VASP calculation (PBE) on a relaxed MnCuRu2 crystal.

The energy comes out at -7.6606 eV/atom. For the density, the calculation gives 9.7 g/cm3.

It has space group F-43m (No. 216), with a = 6.030 Å, b = 6.030 Å, c = 6.030 Å, α = 90.00°, β = 90.00° and γ = 90.00°. The asymmetric unit holds Mn at (0.000, 0.000, 0.000), Cu at (0.250, 0.250, 0.750), Ru at (0.000, 0.000, 0.500) and Ru at (0.250, 0.250, 0.250).

---

# 11
VASP calculation (PBE) on a relaxed Zn2CoRe crystal.

For the density, the calculation gives 11.7 g/cm3. As for the energy relative to the lowest polymorph listed for this composition: 0.2726 eV per atom.

It has space group F-43m (No. 216), with a = 5.976 Å, b = 5.976 Å, c = 5.976 Å, α = 90.00°, β = 90.00° and γ = 90.00°. The asymmetric unit holds Zn at (0.000, 0.000, 0.000), Zn at (0.250, 0.250, 0.250), Co at (0.000, 0.000, 0.500) and Re at (0.250, 0.250, 0.750).

---

# 12
VASP calculation (PBE) on a relaxed CrSiPb2 crystal.

The calculation puts the formation energy from raw total energies at 14.0 kcal/mol of atoms. For the density, the calculation gives 8.7 g/cm3.

It has space group Immm (No. 71), with a = 4.633 Å, b = 4.690 Å, c = 8.664 Å, α = 90.00°, β = 90.00° and γ = 90.00°. The asymmetric unit holds Cr at (0.000, 0.000, 0.000), Si at (0.000, 0.000, 0.500) and Pb at (0.000, 0.500, 0.250).